[1]
{"formula": "HgOs3", "functional": "SCAN", "state": "PBEsol geometry", "lattice_angstrom": [[2.7791, 0.0000, 0.0000], [0.0000, 9.1844, 0.0000], [0.0000, 0.0000, 4.7818]], "species": ["Hg", "Hg", "Os", "Os", "Os", "Os", "Os", "Os"], "frac_coords": [[0.0000, 0.0000, 0.0000], [0.5000, 0.5000, 0.5000], [0.0000, 0.2312, 0.6392], [0.0000, 0.5000, 0.9880], [0.0000, 0.7688, 0.6392], [0.5000, 0.0000, 0.4880], [0.5000, 0.2688, 0.1392], [0.5000, 0.7312, 0.1392]], "space_group": "Imm2, No. 44", "dos_ef_per_ev_atom": 0.94, "final_energy_ev_per_atom": -70.15, "de_polymorph_mev_per_atom": 0, "ef_ev_per_atom": 0.8014}

[2]
{"formula": "ScCrCl", "functional": "SCAN", "state": "PBEsol geometry", "lattice_angstrom": [[3.6590, 0.0000, 0.0000], [0.0000, 5.0023, 0.0000], [0.0000, 0.0000, 12.1897]], "species": ["Sc", "Sc", "Sc", "Sc", "Cr", "Cr", "Cr", "Cr", "Cl", "Cl", "Cl", "Cl"], "frac_coords": [[0.0000, 0.0000, 0.0000], [0.0000, 0.5000, 0.5000], [0.5000, 0.0000, 0.5000], [0.5000, 0.5000, 0.0000], [0.0000, 0.0000, 0.6599], [0.0000, 0.5000, 0.1599], [0.5000, 0.0000, 0.1599], [0.5000, 0.5000, 0.6599], [0.0000, 0.0000, 0.3485], [0.0000, 0.5000, 0.8485], [0.5000, 0.0000, 0.8485], [0.5000, 0.5000, 0.3485]], "space_group": "Fmm2, No. 42", "dos_ef_per_ev_atom": 0.34, "final_energy_ev_per_atom": -14.06, "raw_formation_energy_ev_per_atom": -0.5220, "de_polymorph_mev_per_atom": 98}

[3]
{"formula": "CdNiIN2", "functional": "SCAN", "state": "PBEsol geometry", "lattice_angstrom": [[3.8932, 0.0000, 0.0000], [0.0000, 3.8932, 0.0000], [0.0000, 0.0000, 5.5991]], "species": ["Cd", "Ni", "I", "N", "N"], "frac_coords": [[0.0000, 0.0000, 0.0000], [0.5000, 0.5000, 0.5000], [0.5000, 0.5000, 0.0000], [0.0000, 0.5000, 0.5000], [0.5000, 0.0000, 0.5000]], "space_group": "P4/mmm, No. 123", "dos_ef_per_ev_atom": 0.31, "final_energy_ev_per_atom": -19.24, "raw_formation_energy_ev_per_atom": 1.1436}

[4]
{"formula": "TiZnSn2O", "functional": "SCAN", "state": "PBEsol geometry", "lattice_angstrom": [[5.4374, 0.0000, 0.0000], [0.0000, 5.4374, 0.0000], [0.0000, 0.0000, 3.4167]], "species": ["Ti", "Zn", "Sn", "Sn", "O"], "frac_coords": [[0.0000, 0.0000, 0.0000], [0.5000, 0.5000, 0.5000], [0.0000, 0.5000, 0.5000], [0.5000, 0.0000, 0.5000], [0.5000, 0.5000, 0.0000]], "space_group": "P4/mmm, No. 123", "dos_ef_per_ev_atom": 0.56, "final_energy_ev_per_atom": -21.46, "raw_formation_energy_ev_per_atom": 0.0664}

[5]
{"formula": "Ta3SiNi2", "functional": "SCAN", "state": "PBEsol geometry", "lattice_angstrom": [[0.0000, 5.5318, 5.5318], [5.5318, 0.0000, 5.5318], [5.5318, 5.5318, 0.0000]], "species": ["Ta", "Ta", "Ta", "Ta", "Ta", "Ta", "Ta", "Ta", "Ta", "Ta", "Ta", "Ta", "Si", "Si", "Si", "Si", "Ni", "Ni", "Ni", "Ni", "Ni", "Ni", "Ni", "Ni"], "frac_coords": [[0.0765, 0.0765, 0.6735], [0.0765, 0.6735, 0.0765], [0.0765, 0.6735, 0.6735], [0.3265, 0.3265, 0.9235], [0.3265, 0.9235, 0.3265], [0.3265, 0.9235, 0.9235], [0.6735, 0.0765, 0.0765], [0.6735, 0.0765, 0.6735], [0.6735, 0.6735, 0.0765], [0.9235, 0.3265, 0.3265], [0.9235, 0.3265, 0.9235], [0.9235, 0.9235, 0.3265], [0.0000, 0.5000, 0.5000], [0.5000, 0.0000, 0.5000], [0.5000, 0.5000, 0.0000], [0.5000, 0.5000, 0.5000], [0.2925, 0.2925, 0.2925], [0.2925, 0.2925, 0.6225], [0.2925, 0.6225, 0.2925], [0.3775, 0.7075, 0.7075], [0.6225, 0.2925, 0.2925], [0.7075, 0.3775, 0.7075], [0.7075, 0.7075, 0.3775], [0.7075, 0.7075, 0.7075]], "space_group": "Fd-3m, No. 227", "dos_ef_per_ev_atom": 0.69, "final_energy_ev_per_atom": -40.77, "raw_formation_energy_ev_per_atom": -0.4227}

[6]
{"formula": "SnOsNF2", "functional": "SCAN", "state": "PBEsol geometry", "lattice_angstrom": [[4.1788, 0.0000, 0.0000], [0.0000, 4.1788, 0.0000], [0.0000, 0.0000, 4.0724]], "species": ["Sn", "Os", "N", "F", "F"], "frac_coords": [[0.0000, 0.0000, 0.0000], [0.5000, 0.5000, 0.5000], [0.0000, 0.0000, 0.5000], [0.0000, 0.5000, 0.0000], [0.5000, 0.0000, 0.0000]], "space_group": "P4/mmm, No. 123", "dos_ef_per_ev_atom": 0.66, "final_energy_ev_per_atom": -24.34, "raw_formation_energy_ev_per_atom": 0.4899}